The following is a PBE calculation of a geometry-optimized TlCuPd2 structure, from OQMD via LeMat-Bulk.

```
data_TlCuPd2
_symmetry_space_group_name_H-M 'P 1'
_symmetry_Int_Tables_number 1
_symmetry_space_group_name_Hall 'P 1'
_cell_length_a 4.529
_cell_length_b 4.529
_cell_length_c 4.529
_cell_angle_alpha 60.00
_cell_angle_beta 60.00
_cell_angle_gamma 60.00
loop_
_atom_site_label
_atom_site_fract_x
_atom_site_fract_y
_atom_site_fract_z
Cu1 0.250 0.250 0.250
Pd1 0.000 0.000 0.000
Pd2 0.750 0.750 0.750
Tl1 0.500 0.500 0.500
```

Calculated values
The calculated total energy comes out at -4.169 eV per atom.